(1)
## Ge2IrNCl (PBE-GGA)

Data for a relaxed structure of Ge2IrNCl.

Raw formation energy ... 0.466 eV/atom
Total DFT energy (no corrections) ... -5.188 eV per atom
DOS(E_F) ... 1.57 states/eV per cell

The structure in POSCAR format:
```
Ge2IrNCl
1.0
5.089 0.000 0.000
0.000 3.697 0.000
0.000 0.000 5.089
N Ge Ir Cl
1 2 1 1
direct
0.000 0.000 0.000
0.000 0.000 0.500
0.500 0.000 0.000
0.000 0.500 0.000
0.500 0.500 0.500
```

---

(2)
## Ho5Ir4 (PBE-GGA)

Data for a relaxed structure of Ho5Ir4.

Total DFT energy (no corrections) ... -7.270 eV per atom
DOS(E_F) ... 4.82 states/eV per cell
Formation energy ... -0.788 eV per atom

The structure in POSCAR format:
```
Ho5Ir4
1.0
-1.008 -1.330 -3.948
0.855 -5.513 -0.688
-8.557 -3.739 1.117
Ho Ir
5 4
direct
0.110 0.177 0.603
0.890 0.823 0.397
0.754 0.669 0.822
0.246 0.331 0.178
0.000 0.000 0.000
0.448 0.250 0.854
0.552 0.750 0.146
0.383 0.617 0.618
0.617 0.383 0.382
```

---

(3)
## BaPSe2 (PBE-GGA)

Data for a relaxed structure of BaPSe2.

Raw formation energy ... -0.333 eV/atom
Total DFT energy (no corrections) ... -3.909 eV per atom
DOS(E_F) ... 3.21 states/eV per cell
Offset from the most stable computed form ... 0.576 eV/atom

The structure in POSCAR format:
```
BaPSe2
1.0
4.376 3.127 0.139
-4.376 3.127 0.139
0.000 2.927 4.513
Ba P Se
1 1 2
direct
0.000 0.000 0.500
0.500 0.500 0.500
0.000 0.500 0.000
0.500 0.000 0.000
```

---

(4)
## Sc4NiC2 (PBE-GGA)

Data for a relaxed structure of Sc4NiC2.

Total DFT energy (no corrections) ... -7.470 eV per atom
DOS(E_F) ... 11.78 states/eV per cell
Formation energy ... -0.391 eV per atom

The structure in POSCAR format:
```
Sc4NiC2
1.0
-0.669 -1.509 2.947
5.497 -1.238 -1.322
3.551 9.634 5.740
Sc Ni C
8 2 4
direct
0.766 0.533 0.106
0.766 0.533 0.394
0.234 0.467 0.894
0.234 0.467 0.606
0.942 0.884 0.750
0.058 0.116 0.250
0.500 0.000 0.000
0.500 0.000 0.500
0.620 0.239 0.750
0.380 0.761 0.250
0.134 0.268 0.434
0.866 0.732 0.934
0.134 0.268 0.066
0.866 0.732 0.566
```

---

(5)
## Sr3ScHg (PBE-GGA)

Data for a relaxed structure of Sr3ScHg.

Total DFT energy (no corrections) ... -1.751 eV per atom
DOS(E_F) ... 4.56 states/eV per cell
Formation energy ... 0.585 eV per atom
Offset from the most stable computed form ... 0.352 eV/atom

The structure in POSCAR format:
```
Sr3ScHg
1.0
6.432 0.000 0.000
0.000 6.432 0.000
0.000 0.000 6.432
Sc Sr Hg
1 3 1
direct
0.000 0.000 0.000
0.000 0.500 0.000
0.000 0.000 0.500
0.500 0.000 0.000
0.500 0.500 0.500
```

---

(6)
## NaMg2Mn (PBE-GGA)

Data for a relaxed structure of NaMg2Mn.

Total DFT energy (no corrections) ... -2.806 eV per atom
DOS(E_F) ... 6.03 states/eV per cell
Formation energy ... 0.613 eV per atom
Offset from the most stable computed form ... 0.276 eV/atom

The structure in POSCAR format:
```
NaMg2Mn
1.0
4.350 0.000 0.000
0.000 4.350 0.000
2.175 2.175 10.531
Na Mg Mn
2 4 2
direct
0.500 0.500 0.000
0.250 0.750 0.500
0.641 0.125 0.250
0.109 0.625 0.250
0.375 0.359 0.750
0.875 0.891 0.750
0.000 0.000 0.000
0.750 0.250 0.500
```

---

(7)
## NdThAs (PBE-GGA)

Data for a relaxed structure of NdThAs.

Total DFT energy (no corrections) ... -6.341 eV per atom
DOS(E_F) ... 1.93 states/eV per cell
Formation energy ... -0.729 eV per atom

The structure in POSCAR format:
```
NdThAs
1.0
-6.081 2.813 -0.805
-1.046 -1.198 3.713
1.740 3.605 -0.544
As Nd Th
1 1 1
direct
0.000 0.000 0.000
0.733 0.667 0.333
0.267 0.333 0.667
```

---

(8)
## K14RbAg (PBE-GGA)

Data for a relaxed structure of K14RbAg.

Total DFT energy (no corrections) ... -1.167 eV per atom
DOS(E_F) ... 12.58 states/eV per cell
Formation energy ... 0.031 eV per atom

The structure in POSCAR format:
```
K14RbAg
1.0
9.361 0.248 0.000
-2.373 9.059 0.000
0.000 0.000 12.939
K Rb Ag
14 1 1
direct
0.106 0.894 0.000
0.584 0.416 0.000
0.146 0.393 0.500
0.060 0.374 0.000
0.607 0.854 0.500
0.626 0.940 0.000
0.447 0.186 0.695
0.447 0.186 0.305
0.814 0.553 0.695
0.814 0.553 0.305
0.343 0.657 0.772
0.343 0.657 0.228
0.895 0.105 0.728
0.895 0.105 0.272
0.122 0.878 0.500
0.751 0.249 0.500
```